Cr2BiC (GGA-PBE, relaxed); magnetization = 4.99 μB per formula unit; formation energy = 0.609 eV/atom
1.0
-2.797 2.797 4.609
2.797 -2.797 4.609
2.797 2.797 -4.609
Cr Bi C
4 2 2
Cartesian
0.669 1.398 1.152
-1.398 2.128 3.457
-0.669 4.195 1.152
1.398 3.466 3.457
2.797 0.000 2.305
0.000 0.000 4.609
0.000 0.000 0.000
0.000 2.797 2.305